(w)
# DyZrPa | Alexandria via LeMat-Bulk | PBE | optimized geometry
data_DyZrPa
_chemical_formula_sum 'Dy1 Zr1 Pa1'
_space_group_name_H-M_alt 'P -6 m 2'
_space_group_IT_number 187
_space_group_name_Hall 'P -6 2'
_cell_length_a 5.2276
_cell_length_b 5.2276
_cell_length_c 3.3318
_cell_angle_alpha 90.00
_cell_angle_beta 90.00
_cell_angle_gamma 120.00
loop_
_atom_site_label
_atom_site_fract_x
_atom_site_fract_y
_atom_site_fract_z
Dy1 0.0000 0.0000 0.0000
Zr1 0.3333 0.6667 0.5000
Pa1 0.6667 0.3333 0.5000
# - ρ: 10.2 Mg/m³
# - Total moment: 0.00 μB/atom

***

(x)
# DyZrPa | Alexandria via LeMat-Bulk | PBE | optimized geometry
data_DyZrPa
_chemical_formula_sum 'Dy2 Zr2 Pa2'
_space_group_name_H-M_alt 'I 4 m m'
_space_group_IT_number 107
_space_group_name_Hall 'I 4 -2'
_cell_length_a 3.219
_cell_length_b 3.219
_cell_length_c 15.176
_cell_angle_alpha 90.00
_cell_angle_beta 90.00
_cell_angle_gamma 90.00
loop_
_atom_site_label
_atom_site_fract_x
_atom_site_fract_y
_atom_site_fract_z
Dy1 0.000 0.000 0.000
Zr1 0.000 0.000 0.328
Pa1 0.000 0.000 0.673
# - ρ: 10.2 Mg/m³
# - Total moment: 0.00 μB/atom

***

Relative stability in kJ/mol of atoms, measured from the most stable structure: (w) 1.7; (x) 0.0

***

(w)
# DyZr2Pa | Alexandria via LeMat-Bulk | PBE | optimized geometry
data_DyZr2Pa
_chemical_formula_sum 'Dy3 Zr6 Pa3'
_space_group_name_H-M_alt 'R -3 m'
_space_group_IT_number 166
_space_group_name_Hall '-R 3 2"'
_cell_length_a 3.2977
_cell_length_b 3.2977
_cell_length_c 32.5969
_cell_angle_alpha 90.00
_cell_angle_beta 90.00
_cell_angle_gamma 120.00
loop_
_atom_site_label
_atom_site_fract_x
_atom_site_fract_y
_atom_site_fract_z
Dy1 0.0000 0.0000 0.0000
Zr1 0.0000 0.0000 0.2470
Pa1 0.0000 0.0000 0.5000
# - ρ: 9.3 Mg/m³
# - Total moment: 0.00 μB/atom

***

(x)
# DyZr2Pa | Alexandria via LeMat-Bulk | PBE | optimized geometry
data_DyZr2Pa
_chemical_formula_sum 'Dy3 Zr6 Pa3'
_space_group_name_H-M_alt 'R 3 m'
_space_group_IT_number 160
_space_group_name_Hall 'R 3 -2"'
_cell_length_a 3.2619
_cell_length_b 3.2619
_cell_length_c 32.9489
_cell_angle_alpha 90.00
_cell_angle_beta 90.00
_cell_angle_gamma 120.00
loop_
_atom_site_label
_atom_site_fract_x
_atom_site_fract_y
_atom_site_fract_z
Dy1 0.0000 0.0000 0.0000
Zr1 0.0000 0.0000 0.4196
Zr2 0.0000 0.0000 0.5811
Pa1 0.0000 0.0000 0.1671
# - ρ: 9.5 Mg/m³
# - Total moment: 0.00 μB/atom

***

(y)
# DyZr2Pa | Alexandria via LeMat-Bulk | PBE | optimized geometry
data_DyZr2Pa
_chemical_formula_sum 'Dy1 Zr2 Pa1'
_space_group_name_H-M_alt 'P 4/m m m'
_space_group_IT_number 123
_space_group_name_Hall '-P 4 2'
_cell_length_a 4.693
_cell_length_b 4.693
_cell_length_c 4.628
_cell_angle_alpha 90.00
_cell_angle_beta 90.00
_cell_angle_gamma 90.00
loop_
_atom_site_label
_atom_site_fract_x
_atom_site_fract_y
_atom_site_fract_z
Dy1 0.000 0.000 0.000
Zr1 0.000 0.500 0.500
Pa1 0.500 0.500 0.000
# - ρ: 9.4 Mg/m³
# - Total moment: 0.00 μB/atom

***

Relative stability in kJ/mol of atoms, measured from the most stable structure: (w) 4.4; (x) 0.0; (y) 10.0

***

(w)
# Dy2Pb3 | Alexandria via LeMat-Bulk | PBE | optimized geometry
data_Dy2Pb3
_chemical_formula_sum 'Dy8 Pb12'
_space_group_name_H-M_alt 'P n m a'
_space_group_IT_number 62
_cell_length_a 12.223
_cell_length_b 4.386
_cell_length_c 11.139
_cell_angle_alpha 90.00
_cell_angle_beta 90.00
_cell_angle_gamma 90.00
loop_
_space_group_symop_operation_xyz
'x,y,z'
'-x,-y,-z'
'-x+1/2,-y,z+1/2'
'x+1/2,y,-z+1/2'
'x+1/2,-y+1/2,-z+1/2'
'-x+1/2,y+1/2,z+1/2'
'-x,y+1/2,-z'
'x,-y+1/2,z'
loop_
_atom_site_label
_atom_site_fract_x
_atom_site_fract_y
_atom_site_fract_z
Dy1 0.011 0.250 0.241
Dy2 0.225 0.250 0.582
Pb1 0.078 0.750 0.439
Pb2 0.097 0.250 0.945
Pb3 0.240 0.750 0.794
# - ρ: 10.5 Mg/m³
# - Total moment: 0.00 μB/atom

***

(x)
# Dy2Pb3 | Alexandria via LeMat-Bulk | PBE | optimized geometry
data_Dy2Pb3
_chemical_formula_sum 'Dy16 Pb24'
_space_group_name_H-M_alt 'F d d 2'
_space_group_IT_number 43
_space_group_name_Hall 'F 2 -2d'
_cell_length_a 11.118
_cell_length_b 15.851
_cell_length_c 6.490
_cell_angle_alpha 90.00
_cell_angle_beta 90.00
_cell_angle_gamma 90.00
loop_
_atom_site_label
_atom_site_fract_x
_atom_site_fract_y
_atom_site_fract_z
Dy1 0.038 0.302 0.000
Pb1 0.000 0.000 0.440
Pb2 0.059 0.398 0.469
# - ρ: 11.0 Mg/m³
# - Total moment: 0.00 μB/atom

***

Relative stability in kJ/mol of atoms, measured from the most stable structure: (w) 5.8; (x) 0.0

***

(w)
# DyPb5 | Alexandria via LeMat-Bulk | PBE | optimized geometry
data_DyPb5
_chemical_formula_sum 'Dy2 Pb10'
_space_group_name_H-M_alt 'C m m m'
_space_group_IT_number 65
_space_group_name_Hall '-C 2 2'
_cell_length_a 4.829
_cell_length_b 15.914
_cell_length_c 4.689
_cell_angle_alpha 90.00
_cell_angle_beta 90.00
_cell_angle_gamma 90.00
loop_
_atom_site_label
_atom_site_fract_x
_atom_site_fract_y
_atom_site_fract_z
Dy1 0.000 0.000 0.000
Pb1 0.000 0.168 0.500
Pb2 0.000 0.343 0.000
Pb3 0.000 0.500 0.500
# - ρ: 11.0 Mg/m³
# - Total moment: 0.00 μB/atom

***

(x)
# DyPb5 | Alexandria via LeMat-Bulk | PBE | optimized geometry
data_DyPb5
_chemical_formula_sum 'Dy2 Pb10'
_space_group_name_H-M_alt 'C 1 2/m 1'
_space_group_IT_number 12
_cell_length_a 6.014
_cell_length_b 10.660
_cell_length_c 5.943
_cell_angle_alpha 90.00
_cell_angle_beta 108.20
_cell_angle_gamma 90.00
loop_
_space_group_symop_operation_xyz
'x,y,z'
'-x,-y,-z'
'-x,y,-z'
'x,-y,z'
'x+1/2,y+1/2,z'
'-x+1/2,-y+1/2,-z'
'-x+1/2,y+1/2,-z'
'x+1/2,-y+1/2,z'
loop_
_atom_site_label
_atom_site_fract_x
_atom_site_fract_y
_atom_site_fract_z
Dy1 0.000 0.000 0.000
Pb1 0.000 0.161 0.500
Pb2 0.000 0.328 0.000
Pb3 0.000 0.500 0.500
# - ρ: 11.0 Mg/m³
# - Total moment: 0.00 μB/atom

***

Relative stability in kJ/mol of atoms, measured from the most stable structure: (w) 0.0; (x) 2.7